# 1
Here is a relaxed structure of CdSiPd2Ru from Alexandria. Energies are from PBE.

Cell: 4.7734 5.0821 4.7734 Å, 90.00 90.00 90.00°
Fractional positions:
1 Ru 0.0000 0.0000 0.0000
2 Si 0.5000 0.5000 0.5000
3 Pd 0.0000 0.0000 0.5000
4 Pd 0.5000 0.0000 0.0000
5 Cd 0.0000 0.5000 0.0000

Summary:
ΔE_f (raw): 1.26 eV per atom
symmetry: P4/mmm

# 2
Here is a relaxed structure of CdSnPdRu from Alexandria. Energies are from PBE.

Cell: 4.6023 4.6023 4.6023 Å, 60.00 60.00 60.00°
Fractional positions:
1 Ru 0.7500 0.7500 0.7500
2 Sn 0.5000 0.5000 0.5000
3 Pd 0.2500 0.2500 0.2500
4 Cd 0.0000 0.0000 0.0000

Summary:
formation energy from the elements: -0.13 eV/atom
symmetry: F-43m

# 3
Here is a relaxed structure of CdSnPdRu2 from Alexandria. Energies are from PBE.

Cell: 4.9031 4.8657 4.9031 Å, 90.00 90.00 90.00°
Fractional positions:
1 Ru 0.0000 0.0000 0.5000
2 Ru 0.5000 0.0000 0.0000
3 Sn 0.5000 0.5000 0.5000
4 Pd 0.0000 0.5000 0.0000
5 Cd 0.0000 0.0000 0.0000

Summary:
formation energy from the elements: 1.55 eV/atom
symmetry: P4/mmm

Computed values of E (unit: Ry/atom) for the preceding records, in sequence: -0.289; -0.366; -0.307.